No. 1
Material: MgMnTe2
Method: DFT, GGA-PBE
State: relaxed

Structure (POSCAR):
```
MgMnTe2
1.0
-1.6380 0.1670 3.2069
-2.1448 -2.7362 -0.9530
4.8161 -4.7176 2.7057
Te Mg Mn
2 1 1
Cartesian
4.7484 -4.6513 2.6677
2.4758 -2.4251 1.3909
-0.6874 -2.4640 1.8034
1.7207 -4.8228 3.1562
```

The space-group type is P4/mmm. The magnetic moment comes out at 1.0326 μB per atom. As for the formation energy (no corrections): -1.9 kJ/mol of atoms. For the total energy, the calculation gives -4.282 eV/atom. As for the volume: 94.4 Å³/f.u.

=====

No. 2
Material: Cs2LaInF6
Method: DFT, GGA-PBE
State: relaxed

Structure (POSCAR):
```
Cs2LaInF6
1.0
7.0499 0.0000 0.0000
0.0000 7.0499 0.0000
3.5249 3.5249 4.9863
F Cs La In
6 2 1 1
Cartesian
5.4068 1.6431 0.0000
1.6431 5.4068 0.0000
1.6431 1.6431 0.0000
3.5249 3.5249 2.6627
5.4068 5.4068 0.0000
7.0499 7.0499 2.3235
7.0499 3.5249 2.4931
3.5249 7.0499 2.4931
0.0000 0.0000 0.0000
3.5249 3.5249 0.0000
```

The space-group type is Fm-3m. The magnetic moment comes out at 0.0000 μB per atom. The polymorph energy (0 for the lowest one) is 17 meV per atom. As for the formation energy (no corrections): -295.1 kJ/mol of atoms. For the total energy, the calculation gives -5.119 eV/atom. As for the volume: 247.8 Å³/f.u.